# BeMoPIr

A geometry-optimized BeMoPIr structure (PBE, Alexandria).

Output
As for the formation energy from the elements: -338 meV/atom. For the density of states at the Fermi level, the calculation gives 2.02 states/eV/f.u. The magnetization comes out at 0.00 μB/cell. The relative energy among the computed polymorphs comes out at 138 meV per atom.

Cell and atoms, written as CIF:
```
data_BeMoPIr
_cell_length_a 3.1223
_cell_length_b 3.3635
_cell_length_c 10.0209
_cell_angle_alpha 90.00
_cell_angle_beta 90.00
_cell_angle_gamma 90.00
_symmetry_space_group_name_H-M 'I m m 2'
_symmetry_Int_Tables_number 44
loop_
_symmetry_equiv_pos_as_xyz
'x,y,z'
'-x,-y,z'
'-x,y,z'
'x,-y,z'
'x+1/2,y+1/2,z+1/2'
'-x+1/2,-y+1/2,z+1/2'
'-x+1/2,y+1/2,z+1/2'
'x+1/2,-y+1/2,z+1/2'
loop_
_atom_site_label
_atom_site_type_symbol
_atom_site_fract_x
_atom_site_fract_y
_atom_site_fract_z
Be1 Be 0.0000 0.0000 0.0000
Mo1 Mo 0.0000 0.5000 0.6918
P1 P 0.0000 0.5000 0.2743
Ir1 Ir 0.0000 0.0000 0.4444
```

# Ca3CuTe

A geometry-optimized Ca3CuTe structure (PBE, Alexandria).

Output
Its uncorrected formation energy is -1.8 eV/f.u. For the density of states at the Fermi level, the calculation gives 4.00 states/eV/f.u. The magnetization comes out at 0.00 μB/cell. The relative energy among the computed polymorphs comes out at 0 meV per atom.

Cell and atoms, written as CIF:
```
data_Ca3CuTe
_cell_length_a 5.4825
_cell_length_b 5.4825
_cell_length_c 5.4825
_cell_angle_alpha 90.00
_cell_angle_beta 90.00
_cell_angle_gamma 90.00
_symmetry_space_group_name_H-M 'P m -3 m'
_symmetry_Int_Tables_number 221
_symmetry_space_group_name_Hall '-P 4 2 3'
loop_
_atom_site_label
_atom_site_type_symbol
_atom_site_fract_x
_atom_site_fract_y
_atom_site_fract_z
Ca1 Ca 0.0000 0.0000 0.5000
Cu1 Cu 0.0000 0.0000 0.0000
Te1 Te 0.5000 0.5000 0.5000
```

# Sc2GePb

A geometry-optimized Sc2GePb structure (PBE, Alexandria).

Output
As for the formation energy from the elements: -198 meV/atom. For the density of states at the Fermi level, the calculation gives 6.85 states/eV/f.u. The magnetization comes out at 0.00 μB/cell.

Cell and atoms, written as CIF:
```
data_Sc2GePb
_cell_length_a 3.8683
_cell_length_b 3.8683
_cell_length_c 26.7573
_cell_angle_alpha 90.00
_cell_angle_beta 90.00
_cell_angle_gamma 120.00
_symmetry_space_group_name_H-M 'R -3 m'
_symmetry_Int_Tables_number 166
_symmetry_space_group_name_Hall '-R 3 2"'
loop_
_atom_site_label
_atom_site_type_symbol
_atom_site_fract_x
_atom_site_fract_y
_atom_site_fract_z
Sc1 Sc 0.0000 0.0000 0.1124
Ge1 Ge 0.0000 0.0000 0.5000
Pb1 Pb 0.0000 0.0000 0.0000
```

What did the third record say?
# Sc2GePb

A geometry-optimized Sc2GePb structure (PBE, Alexandria).

Output
As for the formation energy from the elements: -198 meV/atom. For the density of states at the Fermi level, the calculation gives 6.85 states/eV/f.u. The magnetization comes out at 0.00 μB/cell.

Cell and atoms, written as CIF:
```
data_Sc2GePb
_cell_length_a 3.8683
_cell_length_b 3.8683
_cell_length_c 26.7573
_cell_angle_alpha 90.00
_cell_angle_beta 90.00
_cell_angle_gamma 120.00
_symmetry_space_group_name_H-M 'R -3 m'
_symmetry_Int_Tables_number 166
_symmetry_space_group_name_Hall '-R 3 2"'
loop_
_atom_site_label
_atom_site_type_symbol
_atom_site_fract_x
_atom_site_fract_y
_atom_site_fract_z
Sc1 Sc 0.0000 0.0000 0.1124
Ge1 Ge 0.0000 0.0000 0.5000
Pb1 Pb 0.0000 0.0000 0.0000
```